Entry 1:
KCaTcPb2: optimized geometry, PBE-GGA.

For the total magnetization, the calculation gives 3.876 μB per cell. The formation energy comes out at 653 kJ/mol of formula units. The density is 5.02 g/cm3. For the density of states at the Fermi level, the calculation gives 5.8 states/eV/cell.

The space group is P4/mmm (No. 123) and the conventional cell measures 5.843, 5.843 and 5.736 Å, with angles of 90.00, 90.00 and 90.00 degrees. The inequivalent atoms are K at (0.000, 0.000, 0.000), Ca at (0.000, 0.000, 0.500), Tc at (0.500, 0.500, 0.000) and Pb at (0.000, 0.500, 0.500).


Entry 2:
KCa2Tl2Pb2: optimized geometry, PBE-GGA.

For the total magnetization, the calculation gives 0.000 μB per cell. The formation energy comes out at -164 kJ/mol of formula units. The density is 6.19 g/cm3. For the density of states at the Fermi level, the calculation gives 8.9 states/eV/cell.

The space group is R-3m (No. 166, hexagonal axes) and the conventional cell measures 5.4094, 5.4094 and 29.9514 Å, with angles of 90.00, 90.00 and 120.00 degrees. The inequivalent atoms are K at (0.0000, 0.0000, 0.0000), Ca at (0.0000, 0.0000, 0.1356), Tl at (0.0000, 0.0000, 0.4430) and Pb at (0.0000, 0.0000, 0.2533).


Entry 3:
KCaTlPb: optimized geometry, PBE-GGA.

For the total magnetization, the calculation gives 0.000 μB per cell. The formation energy comes out at -91 kJ/mol of formula units. The density is 6.14 g/cm3. For the density of states at the Fermi level, the calculation gives 5.1 states/eV/cell.

The space group is F-43m (No. 216) and the conventional cell measures 8.098, 8.098 and 8.098 Å, with angles of 90.00, 90.00 and 90.00 degrees. The inequivalent atoms are K at (0.000, 0.000, 0.000), Ca at (0.000, 0.000, 0.500), Tl at (0.250, 0.250, 0.250) and Pb at (0.250, 0.250, 0.750).


Entry 4:
K2CaYPb: optimized geometry, PBE-GGA.

For the total magnetization, the calculation gives 1.143 μB per cell. The formation energy comes out at 432 kJ/mol of formula units. The density is 2.82 g/cm3. For the density of states at the Fermi level, the calculation gives 5.4 states/eV/cell.

The space group is P4/mmm (No. 123) and the conventional cell measures 6.238, 6.238 and 6.269 Å, with angles of 90.00, 90.00 and 90.00 degrees. The inequivalent atoms are K at (0.000, 0.500, 0.000), Ca at (0.000, 0.000, 0.000), Y at (0.000, 0.000, 0.500) and Pb at (0.500, 0.500, 0.500).


Entry 5:
KCaZrPb2: optimized geometry, PBE-GGA.

For the total magnetization, the calculation gives 1.374 μB per cell. The formation energy comes out at 446 kJ/mol of formula units. The density is 5.34 g/cm3. For the density of states at the Fermi level, the calculation gives 4.5 states/eV/cell.

The space group is P4/mmm (No. 123) and the conventional cell measures 5.773, 5.773 and 5.452 Å, with angles of 90.00, 90.00 and 90.00 degrees. The inequivalent atoms are K at (0.000, 0.000, 0.000), Ca at (0.000, 0.000, 0.500), Zr at (0.500, 0.500, 0.000) and Pb at (0.000, 0.500, 0.500).


Entry 6:
KCa2Pd: optimized geometry, PBE-GGA.

As for the offset from the most stable computed form: 0 meV/atom. For the total magnetization, the calculation gives 0.000 μB per cell. The formation energy comes out at -111 kJ/mol of formula units. The density is 2.61 g/cm3. For the density of states at the Fermi level, the calculation gives 2.2 states/eV/cell.

The space group is P4/mmm (No. 123) and the conventional cell measures 3.694, 3.694 and 10.508 Å, with angles of 90.00, 90.00 and 90.00 degrees. The inequivalent atoms are K at (0.000, 0.000, 0.000), Ca at (0.500, 0.500, 0.343) and Pd at (0.000, 0.000, 0.500).


Entry 7:
KCa3Pd: optimized geometry, PBE-GGA.

As for the offset from the most stable computed form: 1433 meV/atom. For the total magnetization, the calculation gives 1.301 μB per cell. The formation energy comes out at 567 kJ/mol of formula units. The density is 2.09 g/cm3. For the density of states at the Fermi level, the calculation gives 5.8 states/eV/cell.

The space group is Pm-3m (No. 221) and the conventional cell measures 5.951, 5.951 and 5.951 Å, with angles of 90.00, 90.00 and 90.00 degrees. The inequivalent atoms are K at (0.000, 0.000, 0.000), Ca at (0.000, 0.000, 0.500) and Pd at (0.500, 0.500, 0.500).


Entry 8:
KCa2Pd: optimized geometry, PBE-GGA.

As for the offset from the most stable computed form: 41 meV/atom. For the total magnetization, the calculation gives 0.000 μB per cell. The formation energy comes out at -95 kJ/mol of formula units. The density is 2.18 g/cm3. For the density of states at the Fermi level, the calculation gives 7.9 states/eV/cell.

The space group is R-3m (No. 166, hexagonal axes) and the conventional cell measures 4.2080, 4.2080 and 33.5789 Å, with angles of 90.00, 90.00 and 120.00 degrees. The inequivalent atoms are K at (0.0000, 0.0000, 0.0000), Ca at (0.0000, 0.0000, 0.1210) and Pd at (0.0000, 0.0000, 0.5000).